Material: CsNiPdO2
Method: DFT, PBE+U
State: optimized geometry

Results
Symmetry   No. 67
Size of the total moment   2.1 μB per formula unit
VASP energy   -44.523 eV/cell

a b c (Å): 5.2880 5.5499 6.8888
angles (deg): 113.75 90.00 90.00
With the nearest neighbours (Å) after each atom.
Element x y z (fractional)
1 Cs 0.2500 0.7500 0.5000  2 O 3.04
2 Cs 0.7500 0.2500 0.5000  2 O 3.04
3 Ni 0.5000 0.7500 0.0000  4 O 1.98
4 Ni 0.5000 0.2500 0.0000  4 O 1.98
5 Pd 0.0000 0.0000 0.0000  2 O 2.05
6 Pd 0.0000 0.5000 0.0000  2 O 2.05
7 O 0.6717 0.9137 0.8274  2 Ni 1.98, 1 Pd 2.05
8 O 0.6717 0.5863 0.1726  2 Ni 1.98, 1 Pd 2.05
9 O 0.3283 0.4137 0.8274  2 Ni 1.98, 1 Pd 2.05
10 O 0.3283 0.0863 0.1726  2 Ni 1.98, 1 Pd 2.05